# Na3U3Se8, relaxed, DFT PBE
data_Na3U3Se8
_chemical_formula_sum 'Na3 U3 Se8'
_cell_length_a 8.597
_cell_length_b 8.597
_cell_length_c 8.597
_cell_angle_alpha 59.26
_cell_angle_beta 59.26
_cell_angle_gamma 59.26
_symmetry_space_group_name_H-M 'P 1'
_symmetry_Int_Tables_number 1
loop_
_symmetry_equiv_pos_as_xyz
'x,y,z'
loop_
_atom_site_label
_atom_site_fract_x
_atom_site_fract_y
_atom_site_fract_z
_atom_site_occupancy
Se1 0.209 0.751 0.751 1
Se2 0.751 0.209 0.751 1
Se3 0.762 0.762 0.762 1
Se4 0.249 0.791 0.249 1
Se5 0.791 0.249 0.249 1
Se6 0.238 0.238 0.238 1
Se7 0.751 0.751 0.209 1
Se8 0.249 0.249 0.791 1
U1 0.500 0.000 0.000 1
U2 0.000 0.500 0.000 1
U3 0.000 0.000 0.500 1
Na1 0.000 0.000 0.000 1
Na2 0.621 0.621 0.621 1
Na3 0.379 0.379 0.379 1
# Formation energy without anion corrections ... -1.145 eV/atom
# Total magnetization ... 5.00 Bohr magnetons per cell
# Density ... 5.32 g/cm³

# Pa2GaI8, relaxed, DFT PBE
data_Pa2GaI8
_chemical_formula_sum 'Pa2 Ga1 I8'
_cell_length_a 8.649
_cell_length_b 8.672
_cell_length_c 8.672
_cell_angle_alpha 104.32
_cell_angle_beta 90.43
_cell_angle_gamma 90.43
_symmetry_space_group_name_H-M 'P 1'
_symmetry_Int_Tables_number 1
loop_
_symmetry_equiv_pos_as_xyz
'x,y,z'
loop_
_atom_site_label
_atom_site_fract_x
_atom_site_fract_y
_atom_site_fract_z
_atom_site_occupancy
I1 0.663 0.164 0.164 1
I2 0.215 0.312 0.905 1
I3 0.337 0.836 0.836 1
I4 0.215 0.905 0.312 1
I5 0.245 0.403 0.403 1
I6 0.755 0.597 0.597 1
I7 0.785 0.095 0.688 1
I8 0.785 0.688 0.095 1
Pa1 0.687 0.864 0.864 1
Pa2 0.313 0.136 0.136 1
Ga1 0.000 0.000 0.000 1
# Distance to the lowest polymorph of the same formula ... 0.0 meV per atom
# Formation energy without anion corrections ... -0.714 eV/atom
# Total magnetization ... 1.16 Bohr magnetons per cell
# Density ... 4.08 g/cm³

# HoEr15In4, relaxed, DFT PBE
data_HoEr15In4
_chemical_formula_sum 'Ho1 Er15 In4'
_cell_length_a 4.815
_cell_length_b 4.815
_cell_length_c 24.430
_cell_angle_alpha 90.00
_cell_angle_beta 90.00
_cell_angle_gamma 90.00
_symmetry_space_group_name_H-M 'P 1'
_symmetry_Int_Tables_number 1
loop_
_symmetry_equiv_pos_as_xyz
'x,y,z'
loop_
_atom_site_label
_atom_site_fract_x
_atom_site_fract_y
_atom_site_fract_z
_atom_site_occupancy
In1 0.000 0.000 0.205 1
In2 0.000 0.000 0.598 1
In3 0.000 0.000 0.402 1
In4 0.000 0.000 0.795 1
Er1 0.500 0.000 0.500 1
Er2 0.500 0.000 0.896 1
Er3 0.000 0.500 0.697 1
Er4 0.500 0.500 0.796 1
Er5 0.500 0.500 0.402 1
Er6 0.500 0.500 0.204 1
Er7 0.000 0.500 0.303 1
Er8 0.500 0.500 0.000 1
Er9 0.500 0.000 0.303 1
Er10 0.000 0.500 0.896 1
Er11 0.000 0.500 0.104 1
Er12 0.500 0.500 0.598 1
Er13 0.500 0.000 0.697 1
Er14 0.500 0.000 0.104 1
Er15 0.000 0.500 0.500 1
Ho1 0.000 0.000 0.000 1
# Formation energy from the elements ... -199 meV/atom
# Total magnetization ... 0.00 Bohr magnetons per cell
# Density ... 9.18 g/cm³

# NdCrP2Rh5, relaxed, DFT PBE
data_NdCrP2Rh5
_chemical_formula_sum 'Nd1 Cr1 P2 Rh5'
_cell_length_a 4.084
_cell_length_b 4.084
_cell_length_c 9.662
_cell_angle_alpha 90.00
_cell_angle_beta 90.00
_cell_angle_gamma 90.00
_symmetry_space_group_name_H-M 'P 1'
_symmetry_Int_Tables_number 1
loop_
_symmetry_equiv_pos_as_xyz
'x,y,z'
loop_
_atom_site_label
_atom_site_fract_x
_atom_site_fract_y
_atom_site_fract_z
_atom_site_occupancy
Rh1 0.500 0.000 0.157 1
Rh2 0.000 0.500 0.843 1
Rh3 0.000 0.000 0.500 1
Rh4 0.500 0.000 0.843 1
Rh5 0.000 0.500 0.157 1
Nd1 0.500 0.500 0.500 1
Cr1 0.000 0.000 0.000 1
P1 0.000 0.000 0.732 1
P2 0.000 0.000 0.268 1
# Formation energy from the elements ... -324 meV/atom
# Total magnetization ... 2.14 Bohr magnetons per cell
# Density ... 7.96 g/cm³

# Pm4PrSm4, relaxed, DFT PBE
data_Pm4PrSm4
_chemical_formula_sum 'Pm4 Pr1 Sm4'
_cell_length_a 5.159
_cell_length_b 8.156
_cell_length_c 8.156
_cell_angle_alpha 84.26
_cell_angle_beta 71.56
_cell_angle_gamma 71.56
_symmetry_space_group_name_H-M 'P 1'
_symmetry_Int_Tables_number 1
loop_
_symmetry_equiv_pos_as_xyz
'x,y,z'
loop_
_atom_site_label
_atom_site_fract_x
_atom_site_fract_y
_atom_site_fract_z
_atom_site_occupancy
Pm1 0.666 0.334 0.333 1
Pm2 0.334 0.666 0.667 1
Pm3 0.000 0.333 0.666 1
Pm4 0.000 0.667 0.334 1
Sm1 0.333 0.000 0.334 1
Sm2 0.667 0.000 0.666 1
Sm3 0.667 0.666 0.000 1
Sm4 0.333 0.334 0.000 1
Pr1 0.000 0.000 0.000 1
# Formation energy from the elements ... 14 meV/atom
# Total magnetization ... 0.00 Bohr magnetons per cell
# Density ... 7.11 g/cm³

# CaLaH6Pd2, relaxed, DFT PBE
data_CaLaH6Pd2
_chemical_formula_sum 'Ca1 La1 H6 Pd2'
_cell_length_a 4.839
_cell_length_b 4.839
_cell_length_c 6.330
_cell_angle_alpha 67.53
_cell_angle_beta 67.53
_cell_angle_gamma 60.00
_symmetry_space_group_name_H-M 'P 1'
_symmetry_Int_Tables_number 1
loop_
_symmetry_equiv_pos_as_xyz
'x,y,z'
loop_
_atom_site_label
_atom_site_fract_x
_atom_site_fract_y
_atom_site_fract_z
_atom_site_occupancy
H1 0.438 0.946 0.177 1
H2 0.562 0.054 0.823 1
H3 0.561 0.562 0.823 1
H4 0.054 0.561 0.823 1
H5 0.439 0.438 0.177 1
H6 0.946 0.439 0.177 1
Pd1 0.786 0.786 0.643 1
Pd2 0.214 0.214 0.357 1
Ca1 0.500 0.500 0.500 1
La1 0.000 0.000 0.000 1
# Electronic total energy ... -4.10 eV/atom
# Total magnetization ... 0.00 Bohr magnetons per cell
# Density ... 5.74 g/cm³